1.
Computed, not measured: an optimized crystal structure of NiBRh at the PBE-GGA level of DFT.

Properties
Energy (eV/atom): -6.715
Formation energy from the elements (eV per atom): -0.11
V (Å³ per cell): 96
Symmetry: P-62m (189)
M_tot (Bohr magnetons per cell): 0.01

```
data_NiBRh
_space_group_name_H-M_alt 'P 1'
_space_group_IT_number 1
_cell_length_a 5.667
_cell_length_b 5.667
_cell_length_c 3.451
_cell_angle_alpha 90.00
_cell_angle_beta 90.00
_cell_angle_gamma 120.00
loop_
_space_group_symop_operation_xyz
'x,y,z'
loop_
_atom_site_label
_atom_site_type_symbol
_atom_site_fract_x
_atom_site_fract_y
_atom_site_fract_z
Ni1 Ni 0.000 0.389 0.000
Ni2 Ni 0.389 0.000 0.000
Ni3 Ni 0.611 0.611 0.000
B1 B 0.000 0.000 0.000
B2 B 0.333 0.667 0.500
B3 B 0.667 0.333 0.500
Rh1 Rh 0.000 0.724 0.500
Rh2 Rh 0.276 0.276 0.500
Rh3 Rh 0.724 0.000 0.500
```



2.
Computed, not measured: an optimized crystal structure of Co2HgRuN at the PBE-GGA level of DFT.

Properties
Energy (eV/atom): -6.193
V (Å³ per cell): 62
Uncorrected formation energy (eV/atom): 0.230
Symmetry: P4/mmm (123)
M_tot (Bohr magnetons per cell): 2.28

```
data_Co2HgRuN
_space_group_name_H-M_alt 'P 1'
_space_group_IT_number 1
_cell_length_a 3.944
_cell_length_b 3.944
_cell_length_c 4.008
_cell_angle_alpha 90.00
_cell_angle_beta 90.00
_cell_angle_gamma 90.00
loop_
_space_group_symop_operation_xyz
'x,y,z'
loop_
_atom_site_label
_atom_site_type_symbol
_atom_site_fract_x
_atom_site_fract_y
_atom_site_fract_z
Co1 Co 0.000 0.500 0.000
Co2 Co 0.500 0.000 0.000
Hg1 Hg 0.000 0.000 0.500
Ru1 Ru 0.500 0.500 0.500
N1 N 0.500 0.500 0.000
```



3.
Computed, not measured: an optimized crystal structure of Sr2YTa at the PBE-GGA level of DFT.

Properties
Energy (eV/atom): -4.843
Formation energy from the elements (eV per atom): 0.58
Excess energy over the best structure of this formula in the dataset (meV per atom): 26
V (Å³ per cell): 141
Symmetry: Pm (6)
M_tot (Bohr magnetons per cell): 0.00

```
data_Sr2YTa
_space_group_name_H-M_alt 'P 1'
_space_group_IT_number 1
_cell_length_a 3.597
_cell_length_b 4.233
_cell_length_c 9.252
_cell_angle_alpha 90.00
_cell_angle_beta 90.12
_cell_angle_gamma 90.00
loop_
_space_group_symop_operation_xyz
'x,y,z'
loop_
_atom_site_label
_atom_site_type_symbol
_atom_site_fract_x
_atom_site_fract_y
_atom_site_fract_z
Sr1 Sr 0.000 0.000 0.000
Sr2 Sr 0.499 0.500 0.352
Y1 Y 0.500 0.500 0.731
Ta1 Ta 0.999 0.000 0.589
```



4.
Computed, not measured: an optimized crystal structure of PmHo3Er2Bi6 at the PBE-GGA level of DFT.

Properties
Energy (eV/atom): -5.085
Formation energy from the elements (eV per atom): -0.84
V (Å³ per cell): 380
Symmetry: C2/m (12)
M_tot (Bohr magnetons per cell): 0.00

```
data_PmHo3Er2Bi6
_space_group_name_H-M_alt 'P 1'
_space_group_IT_number 1
_cell_length_a 10.006
_cell_length_b 10.006
_cell_length_c 8.953
_cell_angle_alpha 102.88
_cell_angle_beta 102.88
_cell_angle_gamma 25.85
loop_
_space_group_symop_operation_xyz
'x,y,z'
loop_
_atom_site_label
_atom_site_type_symbol
_atom_site_fract_x
_atom_site_fract_y
_atom_site_fract_z
Pm1 Pm 0.000 0.000 0.000
Ho1 Ho 0.000 0.000 0.500
Ho2 Ho 0.335 0.335 0.168
Ho3 Ho 0.665 0.665 0.832
Er1 Er 0.333 0.333 0.666
Er2 Er 0.667 0.667 0.334
Bi1 Bi 0.167 0.167 0.583
Bi2 Bi 0.169 0.169 0.085
Bi3 Bi 0.499 0.499 0.744
Bi4 Bi 0.501 0.501 0.256
Bi5 Bi 0.831 0.831 0.915
Bi6 Bi 0.833 0.833 0.417
```